# Ce4GaB3Rh12 (GGA-PBE, optimized geometry)
data_Ce4GaB3Rh12
_chemical_formula_sum 'Ce8 Ga2 B6 Rh24'
_cell_length_a 8.6412
_cell_length_b 8.6412
_cell_length_c 8.6412
_cell_angle_alpha 90.00
_cell_angle_beta 90.00
_cell_angle_gamma 90.00
_space_group_name_H-M_alt 'I m -3 m'
_space_group_IT_number 229
_space_group_name_Hall '-I 4 2 3'
loop_
_atom_site_label
_atom_site_fract_x
_atom_site_fract_y
_atom_site_fract_z
Ce1 0.2500 0.2500 0.2500
Ga1 0.0000 0.0000 0.0000
B1 0.0000 0.0000 0.5000
Rh1 0.0000 0.0000 0.2710
Rh2 0.0000 0.2500 0.5000
# final energy = -297.025 eV per cell
# total magnetization = 0.9 μB per formula unit

=====

# TaMoAu (GGA-PBE, optimized geometry)
data_TaMoAu
_chemical_formula_sum 'Ta2 Mo2 Au2'
_cell_length_a 2.7328
_cell_length_b 4.2196
_cell_length_c 8.9883
_cell_angle_alpha 90.00
_cell_angle_beta 90.00
_cell_angle_gamma 90.00
_space_group_name_H-M_alt 'I m m 2'
_space_group_IT_number 44
loop_
_space_group_symop_operation_xyz
'x,y,z'
'-x,-y,z'
'-x,y,z'
'x,-y,z'
'x+1/2,y+1/2,z+1/2'
'-x+1/2,-y+1/2,z+1/2'
'-x+1/2,y+1/2,z+1/2'
'x+1/2,-y+1/2,z+1/2'
loop_
_atom_site_label
_atom_site_fract_x
_atom_site_fract_y
_atom_site_fract_z
Ta1 0.0000 0.0000 0.0000
Mo1 0.0000 0.0000 0.3413
Au1 0.0000 0.0000 0.6718
# distance to the lowest polymorph of the same formula = 0.242 eV/atom
# final energy = -50.828 eV per cell
# total magnetization = 0.0 μB per formula unit

=====

# BaHBr3 (GGA-PBE, optimized geometry)
data_BaHBr3
_chemical_formula_sum 'Ba4 H4 Br12'
_cell_length_a 7.4543
_cell_length_b 8.7330
_cell_length_c 11.8800
_cell_angle_alpha 90.00
_cell_angle_beta 123.38
_cell_angle_gamma 90.00
_space_group_name_H-M_alt 'P 1 21/c 1'
_space_group_IT_number 14
loop_
_space_group_symop_operation_xyz
'x,y,z'
'-x,-y,-z'
'-x,y+1/2,-z+1/2'
'x,-y+1/2,z+1/2'
loop_
_atom_site_label
_atom_site_fract_x
_atom_site_fract_y
_atom_site_fract_z
Ba1 0.1727 0.1320 0.2307
H1 0.2973 0.5578 0.0979
Br1 0.1061 0.1656 0.9350
Br2 0.2795 0.6525 0.9530
Br3 0.3698 0.0058 0.7443
# distance to the lowest polymorph of the same formula = 0.000 eV/atom
# final energy = -69.042 eV per cell
# total magnetization = 0.0 μB per formula unit

=====

# Ce2NdGa2Ag2 (GGA-PBE, optimized geometry)
data_Ce2NdGa2Ag2
_chemical_formula_sum 'Ce6 Nd3 Ga6 Ag6'
_cell_length_a 4.5323
_cell_length_b 4.5323
_cell_length_c 27.0863
_cell_angle_alpha 90.00
_cell_angle_beta 90.00
_cell_angle_gamma 120.00
_space_group_name_H-M_alt 'R -3 m'
_space_group_IT_number 166
_space_group_name_Hall '-R 3 2"'
loop_
_atom_site_label
_atom_site_fract_x
_atom_site_fract_y
_atom_site_fract_z
Ce1 0.0000 0.0000 0.1415
Nd1 0.0000 0.0000 0.0000
Ga1 0.0000 0.0000 0.2600
Ag1 0.0000 0.0000 0.4084
# final energy = -92.904 eV per cell
# total magnetization = 1.0 μB per formula unit

=====

# La3DyCd (GGA-PBE, optimized geometry)
data_La3DyCd
_chemical_formula_sum 'La12 Dy4 Cd4'
_cell_length_a 13.0556
_cell_length_b 3.7237
_cell_length_c 13.9634
_cell_angle_alpha 90.00
_cell_angle_beta 98.92
_cell_angle_gamma 90.00
_space_group_name_H-M_alt 'C 1 2/m 1'
_space_group_IT_number 12
loop_
_space_group_symop_operation_xyz
'x,y,z'
'-x,-y,-z'
'-x,y,-z'
'x,-y,z'
'x+1/2,y+1/2,z'
'-x+1/2,-y+1/2,-z'
'-x+1/2,y+1/2,-z'
'x+1/2,-y+1/2,z'
loop_
_atom_site_label
_atom_site_fract_x
_atom_site_fract_y
_atom_site_fract_z
La1 0.0119 0.0000 0.1827
La2 0.1385 0.5000 0.4032
La3 0.2148 0.5000 0.7690
Dy1 0.1404 0.5000 0.0179
Cd1 0.0831 0.0000 0.5918
# distance to the lowest polymorph of the same formula = 0.000 eV/atom
# final energy = -83.173 eV per cell
# total magnetization = 0.0 μB per formula unit

=====

# Ce4USe10 (GGA-PBE, optimized geometry)
data_Ce4USe10
_chemical_formula_sum 'Ce8 U2 Se20'
_cell_length_a 10.8721
_cell_length_b 10.8721
_cell_length_c 6.8843
_cell_angle_alpha 90.00
_cell_angle_beta 90.00
_cell_angle_gamma 90.00
_space_group_name_H-M_alt 'I 4/m'
_space_group_IT_number 87
_space_group_name_Hall '-I 4'
loop_
_atom_site_label
_atom_site_fract_x
_atom_site_fract_y
_atom_site_fract_z
Ce1 0.0993 0.3001 0.0000
U1 0.0000 0.0000 0.5000
Se1 0.0000 0.5000 0.2500
Se2 0.0992 0.8043 0.2551
# final energy = -184.699 eV per cell
# total magnetization = 2.3 μB per formula unit

=====

# Er2PaTl (GGA-PBE, optimized geometry)
data_Er2PaTl
_chemical_formula_sum 'Er2 Pa1 Tl1'
_cell_length_a 4.8591
_cell_length_b 4.8591
_cell_length_c 4.5240
_cell_angle_alpha 90.00
_cell_angle_beta 90.00
_cell_angle_gamma 90.00
_space_group_name_H-M_alt 'P 4/m m m'
_space_group_IT_number 123
_space_group_name_Hall '-P 4 2'
loop_
_atom_site_label
_atom_site_fract_x
_atom_site_fract_y
_atom_site_fract_z
Er1 0.0000 0.5000 0.0000
Pa1 0.0000 0.0000 0.5000
Tl1 0.5000 0.5000 0.5000
# distance to the lowest polymorph of the same formula = 0.123 eV/atom
# final energy = -20.759 eV per cell
# total magnetization = 0.0 μB per formula unit

=====

# Pr3Zn3In (GGA-PBE, optimized geometry)
data_Pr3Zn3In
_chemical_formula_sum 'Pr12 Zn12 In4'
_cell_length_a 10.9774
_cell_length_b 4.6633
_cell_length_c 15.2029
_cell_angle_alpha 90.00
_cell_angle_beta 111.11
_cell_angle_gamma 90.00
_space_group_name_H-M_alt 'C 1 2/m 1'
_space_group_IT_number 12
loop_
_space_group_symop_operation_xyz
'x,y,z'
'-x,-y,-z'
'-x,y,-z'
'x,-y,z'
'x+1/2,y+1/2,z'
'-x+1/2,-y+1/2,-z'
'-x+1/2,y+1/2,-z'
'x+1/2,-y+1/2,z'
loop_
_atom_site_label
_atom_site_fract_x
_atom_site_fract_y
_atom_site_fract_z
Pr1 0.0210 0.0000 0.2794
Pr2 0.1514 0.5000 0.1212
Pr3 0.1876 0.0000 0.5763
Zn1 0.0249 0.5000 0.4246
Zn2 0.0856 0.0000 0.9610
Zn3 0.1922 0.5000 0.7249
In1 0.1518 0.5000 0.8949
# final energy = -92.271 eV per cell
# total magnetization = 0.0 μB per formula unit

=====

# Cd6HgPd3 (GGA-PBE, optimized geometry)
data_Cd6HgPd3
_chemical_formula_sum 'Cd24 Hg4 Pd12'
_cell_length_a 10.8957
_cell_length_b 10.4645
_cell_length_c 7.0717
_cell_angle_alpha 90.00
_cell_angle_beta 90.00
_cell_angle_gamma 90.00
_space_group_name_H-M_alt 'C m c m'
_space_group_IT_number 63
_space_group_name_Hall '-C 2c 2'
loop_
_atom_site_label
_atom_site_fract_x
_atom_site_fract_y
_atom_site_fract_z
Cd1 0.0000 0.1492 0.0226
Cd2 0.1672 0.5000 0.0000
Cd3 0.2328 0.2458 0.2500
Hg1 0.0000 0.3497 0.7500
Pd1 0.0000 0.3722 0.2500
Pd2 0.1405 0.0168 0.7500
# final energy = -93.992 eV per cell
# total magnetization = 0.0 μB per formula unit

=====

# Cs3Sc2Cl8 (GGA-PBE, optimized geometry)
data_Cs3Sc2Cl8
_chemical_formula_sum 'Cs9 Sc6 Cl24'
_cell_length_a 7.6993
_cell_length_b 7.6993
_cell_length_c 28.7883
_cell_angle_alpha 90.00
_cell_angle_beta 90.00
_cell_angle_gamma 120.00
_space_group_name_H-M_alt 'R -3 m'
_space_group_IT_number 166
_space_group_name_Hall '-R 3 2"'
loop_
_atom_site_label
_atom_site_fract_x
_atom_site_fract_y
_atom_site_fract_z
Cs1 0.0000 0.0000 0.0000
Cs2 0.0000 0.0000 0.2032
Sc1 0.0000 0.0000 0.4062
Cl1 0.0000 0.0000 0.3226
Cl2 0.0059 0.5030 0.7688
# final energy = -166.859 eV per cell
# total magnetization = 1.0 μB per formula unit

=====

# RbAg2PtCl8 (GGA-PBE, optimized geometry)
data_RbAg2PtCl8
_chemical_formula_sum 'Rb1 Ag2 Pt1 Cl8'
_cell_length_a 6.4462
_cell_length_b 6.4851
_cell_length_c 9.0076
_cell_angle_alpha 75.28
_cell_angle_beta 76.66
_cell_angle_gamma 89.08
_space_group_name_H-M_alt 'P -1'
_space_group_IT_number 2
loop_
_space_group_symop_operation_xyz
'x,y,z'
'-x,-y,-z'
loop_
_atom_site_label
_atom_site_fract_x
_atom_site_fract_y
_atom_site_fract_z
Rb1 0.0000 0.0000 0.0000
Ag1 0.3554 0.4764 0.2138
Pt1 0.0000 0.0000 0.5000
Cl1 0.0758 0.7435 0.7153
Cl2 0.1997 0.8071 0.3245
Cl3 0.3074 0.2056 0.4765
Cl4 0.4980 0.7651 0.9752
# final energy = -35.440 eV per cell
# total magnetization = 0.0 μB per formula unit